No. 1
# PBE HfZrBe2, optimized geometry
data_HfZrBe2
_chemical_formula_sum 'Hf4 Zr4 Be8'
_cell_length_a 6.286
_cell_length_b 6.286
_cell_length_c 6.286
_cell_angle_alpha 90.00
_cell_angle_beta 90.00
_cell_angle_gamma 90.00
_space_group_name_H-M_alt 'F m -3 m'
_space_group_IT_number 225
_space_group_name_Hall '-F 4 2 3'
loop_
_atom_site_label
_atom_site_type_symbol
_atom_site_fract_x
_atom_site_fract_y
_atom_site_fract_z
Hf1 Hf 0.000 0.000 0.000
Zr1 Zr 0.000 0.000 0.500
Be1 Be 0.250 0.250 0.250
# - VASP energy (eV/atom) = -6.588
# - DFT formation energy (kJ per mole of atoms) = -9.6


No. 2
# PBE Hf2ZrBe6, optimized geometry
data_Hf2ZrBe6
_chemical_formula_sum 'Hf2 Zr1 Be6'
_cell_length_a 6.5642
_cell_length_b 6.5642
_cell_length_c 3.2102
_cell_angle_alpha 90.00
_cell_angle_beta 90.00
_cell_angle_gamma 120.00
_space_group_name_H-M_alt 'P 6/m m m'
_space_group_IT_number 191
_space_group_name_Hall '-P 6 2'
loop_
_atom_site_label
_atom_site_type_symbol
_atom_site_fract_x
_atom_site_fract_y
_atom_site_fract_z
Hf1 Hf 0.3333 0.6667 0.0000
Zr1 Zr 0.0000 0.0000 0.0000
Be1 Be 0.0000 0.3345 0.5000
# - VASP energy (eV/atom) = -5.819
# - DFT formation energy (kJ per mole of atoms) = -16.7


No. 3
# PBE HfZr2Be2, optimized geometry
data_HfZr2Be2
_chemical_formula_sum 'Hf2 Zr4 Be4'
_cell_length_a 4.185
_cell_length_b 4.185
_cell_length_c 10.464
_cell_angle_alpha 90.00
_cell_angle_beta 90.00
_cell_angle_gamma 90.00
_space_group_name_H-M_alt 'I 4/m m m'
_space_group_IT_number 139
_space_group_name_Hall '-I 4 2'
loop_
_atom_site_label
_atom_site_type_symbol
_atom_site_fract_x
_atom_site_fract_y
_atom_site_fract_z
Hf1 Hf 0.000 0.000 0.000
Zr1 Zr 0.000 0.000 0.365
Be1 Be 0.000 0.500 0.250
# - VASP energy (eV/atom) = -6.423
# - DFT formation energy (kJ per mole of atoms) = 46.1


No. 4
# PBE HfZrBe2, optimized geometry
data_HfZrBe2
_chemical_formula_sum 'Hf1 Zr1 Be2'
_cell_length_a 3.142
_cell_length_b 3.142
_cell_length_c 6.292
_cell_angle_alpha 90.00
_cell_angle_beta 90.00
_cell_angle_gamma 90.00
_space_group_name_H-M_alt 'P 4/m m m'
_space_group_IT_number 123
_space_group_name_Hall '-P 4 2'
loop_
_atom_site_label
_atom_site_type_symbol
_atom_site_fract_x
_atom_site_fract_y
_atom_site_fract_z
Hf1 Hf 0.000 0.000 0.000
Zr1 Zr 0.000 0.000 0.500
Be1 Be 0.500 0.500 0.242
# - VASP energy (eV/atom) = -6.593
# - DFT formation energy (kJ per mole of atoms) = -10.1


No. 5
# PBE HfZr2Be2, optimized geometry
data_HfZr2Be2
_chemical_formula_sum 'Hf2 Zr4 Be4'
_cell_length_a 7.291
_cell_length_b 7.291
_cell_length_c 3.256
_cell_angle_alpha 90.00
_cell_angle_beta 90.00
_cell_angle_gamma 90.00
_space_group_name_H-M_alt 'P 4/m b m'
_space_group_IT_number 127
_space_group_name_Hall '-P 4 2ab'
loop_
_atom_site_label
_atom_site_type_symbol
_atom_site_fract_x
_atom_site_fract_y
_atom_site_fract_z
Hf1 Hf 0.000 0.000 0.000
Zr1 Zr 0.178 0.322 0.500
Be1 Be 0.112 0.612 0.000
# - VASP energy (eV/atom) = -6.936
# - DFT formation energy (kJ per mole of atoms) = -3.4


No. 6
# PBE Hf3ZrBe, optimized geometry
data_Hf3ZrBe
_chemical_formula_sum 'Hf3 Zr1 Be1'
_cell_length_a 4.748
_cell_length_b 4.748
_cell_length_c 4.748
_cell_angle_alpha 90.00
_cell_angle_beta 90.00
_cell_angle_gamma 90.00
_space_group_name_H-M_alt 'P m -3 m'
_space_group_IT_number 221
_space_group_name_Hall '-P 4 2 3'
loop_
_atom_site_label
_atom_site_type_symbol
_atom_site_fract_x
_atom_site_fract_y
_atom_site_fract_z
Hf1 Hf 0.000 0.000 0.500
Zr1 Zr 0.500 0.500 0.500
Be1 Be 0.000 0.000 0.000
# - VASP energy (eV/atom) = -8.036
# - DFT formation energy (kJ per mole of atoms) = 37.7